Entry 1:
BeNbCrHg2 after structural relaxation, computed with PBEsol.

a = 4.3462 Å, b = 4.9806 Å, c = 4.9806 Å
α = 90.00°, β = 90.00°, γ = 90.00°
Site moments in Bohr magnetons follow the coordinates.
Sites, in units of the cell vectors:
Be: 0.5000 0.5000 0.5000  0.04
Nb: 0.5000 0.0000 0.0000  -0.33
Hg: 0.0000 0.0000 0.5000  0.04
Hg: 0.0000 0.5000 0.0000  0.04
Cr: 0.0000 0.0000 0.0000  1.35

Results
* size of the total moment: 1.180 μB/f.u.
* symmetry: P4/mmm, No. 123
* final energy: -3.96 eV/atom
* theoretical density: 8.55 Mg/m³
* formation energy: 6.409 eV/f.u.

---

Entry 2:
ScZnCr2 after structural relaxation, computed with PBEsol.

a = 2.6545 Å, b = 2.6545 Å, c = 8.4979 Å
α = 90.00°, β = 90.00°, γ = 110.71°
Sites, in units of the cell vectors:
Cr: 0.0000 0.0000 0.9775
Cr: 0.5000 0.5000 0.7805
Sc: 0.0000 0.0000 0.5151
Zn: 0.5000 0.5000 0.2269

Results
* size of the total moment: 0.002 μB/f.u.
* symmetry: Cmm2, No. 35
* final energy: -6.91 eV/atom
* theoretical density: 6.36 Mg/m³
* formation energy: 1.031 eV/f.u.

---

Entry 3:
SrBeIN2 after structural relaxation, computed with PBEsol.

a = 4.8069 Å, b = 4.8069 Å, c = 6.5428 Å
α = 90.00°, β = 90.00°, γ = 90.00°
Site moments in Bohr magnetons follow the coordinates.
Sites, in units of the cell vectors:
I: 0.0000 0.0000 0.5000  0.02
Sr: 0.0000 0.0000 0.0000  0.06
N: 0.5000 0.0000 0.0000  1.35
N: 0.0000 0.5000 0.0000  1.35
Be: 0.5000 0.5000 0.5000  -0.01

Results
* size of the total moment: 4.208 μB/f.u.
* symmetry: P4/mmm, No. 123
* formation energy from raw total energies: 1.671 eV/atom
* final energy: -3.26 eV/atom
* theoretical density: 2.76 Mg/m³

---

Entry 4:
BaTcPt2 after structural relaxation, computed with PBEsol.

a = 4.3078 Å, b = 4.3078 Å, c = 5.1529 Å
α = 114.71°, β = 114.71°, γ = 90.00°
Site moments in Bohr magnetons follow the coordinates.
Sites, in units of the cell vectors:
Pt: 0.0000 0.0000 0.0000  0.09
Pt: 0.7500 0.2500 0.5000  0.22
Tc: 0.5000 0.5000 0.0000  2.17
Ba: 0.2500 0.7500 0.5000  0.04

Results
* size of the total moment: 2.658 μB/f.u.
* symmetry: I-4m2, No. 119
* energy relative to the lowest polymorph listed for this composition: 396 meV/atom
* final energy: -6.21 eV/atom
* theoretical density: 13.47 Mg/m³
* formation energy: 2.514 eV/f.u.

---

Entry 5:
GaAsN2F after structural relaxation, computed with PBEsol.

a = 3.7895 Å, b = 3.7895 Å, c = 3.9773 Å
α = 90.00°, β = 90.00°, γ = 90.00°
Sites, in units of the cell vectors:
Ga: 0.5000 0.5000 0.5000
F: 0.0000 0.0000 0.5000
N: 0.0000 0.5000 0.0000
N: 0.5000 0.0000 0.0000
As: 0.0000 0.0000 0.0000

Results
* size of the total moment: 0.001 μB/f.u.
* symmetry: P4/mmm, No. 123
* formation energy from raw total energies: 0.369 eV/atom
* final energy: -5.12 eV/atom
* theoretical density: 5.57 Mg/m³

---

Entry 6:
TcAsRuO2 after structural relaxation, computed with PBEsol.

a = 3.6719 Å, b = 3.6719 Å, c = 5.5092 Å
α = 90.00°, β = 90.00°, γ = 90.00°
Site moments in Bohr magnetons follow the coordinates.
Sites, in units of the cell vectors:
As: 0.0000 0.0000 0.5000  -0.02
O: 0.0000 0.5000 0.0000  0.02
O: 0.5000 0.0000 0.0000  0.02
Tc: 0.5000 0.5000 0.5000  2.75
Ru: 0.0000 0.0000 0.0000  0.02

Results
* size of the total moment: 3.097 μB/f.u.
* symmetry: P4/mmm, No. 123
* formation energy from raw total energies: 0.076 eV/atom
* final energy: -7.33 eV/atom
* theoretical density: 6.84 Mg/m³

---

Entry 7:
PRhBr2 after structural relaxation, computed with PBEsol.

a = 4.6560 Å, b = 4.6560 Å, c = 4.6560 Å
α = 101.39°, β = 113.66°, γ = 113.66°
Sites, in units of the cell vectors:
P: 0.0000 0.5000 0.5000
Br: 0.5000 0.5000 0.0000
Br: 0.5000 0.0000 0.5000
Rh: 0.0000 0.0000 0.0000

Results
* size of the total moment: 0.000 μB/f.u.
* symmetry: I4/mmm, No. 139
* formation energy from raw total energies: 0.547 eV/atom
* energy relative to the lowest polymorph listed for this composition: 1081 meV/atom
* final energy: -3.87 eV/atom
* theoretical density: 6.37 Mg/m³

---

Entry 8:
BiBRu2W after structural relaxation, computed with PBEsol.

a = 4.6213 Å, b = 4.6213 Å, c = 5.2856 Å
α = 90.00°, β = 90.00°, γ = 90.00°
Site moments in Bohr magnetons follow the coordinates.
Sites, in units of the cell vectors:
Ru: 0.5000 0.0000 0.0000  0.44
Ru: 0.0000 0.5000 0.0000  0.44
Bi: 0.0000 0.0000 0.5000  0.02
B: 0.5000 0.5000 0.5000  -0.01
W: 0.0000 0.0000 0.0000  -0.05

Results
* size of the total moment: 0.879 μB/f.u.
* symmetry: P4/mmm, No. 123
* final energy: -6.66 eV/atom
* theoretical density: 8.91 Mg/m³
* formation energy: 12.168 eV/f.u.

---

Entry 9:
Zn2IrBr after structural relaxation, computed with PBEsol.

a = 3.3965 Å, b = 3.3965 Å, c = 6.5417 Å
α = 90.00°, β = 90.00°, γ = 90.00°
Sites, in units of the cell vectors:
Br: 0.0000 0.0000 0.4356
Zn: 0.0000 0.0000 0.9547
Zn: 0.5000 0.5000 0.2384
Ir: 0.5000 0.5000 0.8714

Results
* size of the total moment: 0.000 μB/f.u.
* symmetry: P4mm, No. 99
* formation energy from raw total energies: 0.208 eV/atom
* energy relative to the lowest polymorph listed for this composition: 92 meV/atom
* final energy: -3.51 eV/atom
* theoretical density: 8.87 Mg/m³

---

Entry 10:
Tm2CdOs after structural relaxation, computed with PBEsol.

a = 4.8700 Å, b = 4.8700 Å, c = 4.8700 Å
α = 60.00°, β = 60.00°, γ = 60.00°
Sites, in units of the cell vectors:
Tm: 0.2500 0.2500 0.2500
Tm: 0.7500 0.7500 0.7500
Cd: 0.5000 0.5000 0.5000
Os: 0.0000 0.0000 0.0000

Results
* size of the total moment: 0.000 μB/f.u.
* symmetry: Fm-3m, No. 225
* final energy: -6.08 eV/atom
* theoretical density: 13.02 Mg/m³
* formation energy: -1.124 eV/f.u.

---

Entry 11:
BaAs2Ir after structural relaxation, computed with PBEsol.

a = 4.9548 Å, b = 4.9548 Å, c = 4.9548 Å
α = 60.00°, β = 60.00°, γ = 60.00°
Sites, in units of the cell vectors:
Ir: 0.2500 0.2500 0.2500
Ba: 0.5000 0.5000 0.5000
As: 0.7500 0.7500 0.7500
As: 0.0000 0.0000 0.0000

Results
* size of the total moment: 0.002 μB/f.u.
* symmetry: F-43m, No. 216
* final energy: -5.14 eV/atom
* theoretical density: 9.25 Mg/m³
* formation energy: 1.609 eV/f.u.

---

Entry 12:
Mn3CrO8 after structural relaxation, computed with PBEsol.

a = 5.6734 Å, b = 5.6734 Å, c = 5.6892 Å
α = 60.09°, β = 60.09°, γ = 60.00°
Site moments in Bohr magnetons follow the coordinates.
Sites, in units of the cell vectors:
O: 0.2641 0.2641 0.2078  0.05
O: 0.2927 0.7362 0.2350  0.01
O: 0.7362 0.7362 0.2350  0.01
O: 0.7359 0.7359 0.7922  0.05
O: 0.7362 0.2927 0.2350  0.01
O: 0.7073 0.2638 0.7650  0.01
O: 0.2638 0.2638 0.7650  0.01
O: 0.2638 0.7073 0.7650  0.01
Mn: 0.5000 0.0000 0.0000  2.82
Mn: 0.5000 0.5000 0.0000  2.82
Mn: 0.0000 0.5000 0.0000  2.82
Cr: 0.5000 0.5000 0.5000  1.99

Results
* size of the total moment: 10.920 μB/f.u.
* symmetry: R-3m, No. 166
* formation energy from raw total energies: -1.597 eV/atom
* energy relative to the lowest polymorph listed for this composition: 53 meV/atom
* final energy: -8.39 eV/atom
* theoretical density: 4.42 Mg/m³